DFT (PBE-GGA) results for LaMg2Te2 after structural relaxation.

abc: 8.750 8.750 8.750
angles: 152.44 152.44 39.36
Fractional positions:
La (0.000, 0.000, 0.000)
Mg (0.250, 0.750, 0.500)
Mg (0.750, 0.250, 0.500)
Te (0.397, 0.397, 0.000)
Te (0.603, 0.603, 0.000)

**DOS(E_F)**: 5.27 states/eV per cell
**Magnetization**: 0.0 μB/cell
**Final energy**: -3.554 eV/atom
**Crystal system**: tetragonal
**Space-group type**: I4/mmm, No. 139
**Density**: 5.1 g/cm³

***

DFT (PBE-GGA) results for La2MgTe after structural relaxation.

abc: 5.576 5.576 5.576
angles: 60.00 60.00 60.00
Fractional positions:
La (0.250, 0.250, 0.250)
La (0.750, 0.750, 0.750)
Mg (0.000, 0.000, 0.000)
Te (0.500, 0.500, 0.500)

**DOS(E_F)**: 4.44 states/eV per cell
**Magnetization**: 0.0 μB/cell
**Final energy**: -4.220 eV/atom
**Crystal system**: cubic
**Relative energy among the computed polymorphs**: 163 meV/atom
**Space-group type**: Fm-3m, No. 225
**Density**: 5.8 g/cm³

***

DFT (PBE-GGA) results for LaMgTe after structural relaxation.

abc: 9.001 9.001 9.001
angles: 34.31 34.31 34.31
Fractional positions:
La (0.082, 0.082, 0.082)
La (0.918, 0.918, 0.918)
Mg (0.331, 0.331, 0.331)
Mg (0.669, 0.669, 0.669)
Te (0.215, 0.215, 0.215)
Te (0.785, 0.785, 0.785)

**DOS(E_F)**: 1.41 states/eV per cell
**Magnetization**: 0.0 μB/cell
**Final energy**: -4.055 eV/atom
**Crystal system**: trigonal
**Relative energy among the computed polymorphs**: 0 meV/atom
**Space-group type**: R-3m, No. 166
**Density**: 4.7 g/cm³

***

DFT (PBE-GGA) results for La2Mg2Te after structural relaxation.

abc: 8.172 8.172 5.204
angles: 90.00 90.00 90.00
Fractional positions:
La (0.150, 0.350, 0.000)
La (0.350, 0.850, 0.000)
La (0.650, 0.150, 0.000)
La (0.850, 0.650, 0.000)
Mg (0.142, 0.642, 0.500)
Mg (0.358, 0.142, 0.500)
Mg (0.642, 0.858, 0.500)
Mg (0.858, 0.358, 0.500)
Te (0.000, 0.000, 0.000)
Te (0.500, 0.500, 0.000)

**DOS(E_F)**: 6.52 states/eV per cell
**Magnetization**: 0.0 μB/cell
**Final energy**: -3.594 eV/atom
**Crystal system**: tetragonal
**Relative energy among the computed polymorphs**: 0 meV/atom
**Space-group type**: P4/mbm, No. 127
**Density**: 4.3 g/cm³

***

DFT (PBE-GGA) results for LaMgTe after structural relaxation.

abc: 5.282 5.282 5.282
angles: 60.00 60.00 60.00
Fractional positions:
La (0.000, 0.000, 0.000)
Mg (0.500, 0.500, 0.500)
Te (0.250, 0.250, 0.250)

**DOS(E_F)**: 5.25 states/eV per cell
**Magnetization**: 0.0 μB/cell
**Final energy**: -3.674 eV/atom
**Crystal system**: cubic
**Relative energy among the computed polymorphs**: 382 meV/atom
**Space-group type**: F-43m, No. 216
**Density**: 4.6 g/cm³

***

DFT (PBE-GGA) results for La2MgTe after structural relaxation.

abc: 3.878 3.878 8.539
angles: 90.00 90.00 90.00
Fractional positions:
La (0.000, 0.000, 0.000)
La (0.500, 0.500, 0.331)
Mg (0.000, 0.000, 0.583)
Te (0.500, 0.500, 0.761)

**DOS(E_F)**: 4.61 states/eV per cell
**Magnetization**: 0.0 μB/cell
**Final energy**: -4.119 eV/atom
**Crystal system**: tetragonal
**Relative energy among the computed polymorphs**: 264 meV/atom
**Space-group type**: P4mm, No. 99
**Density**: 5.6 g/cm³

***

DFT (PBE-GGA) results for La5MgTe8 after structural relaxation.

abc: 8.365 8.365 8.365
angles: 110.17 110.17 108.08
Fractional positions:
La (0.000, 0.000, 0.000)
La (0.131, 0.257, 0.622)
La (0.490, 0.869, 0.126)
La (0.635, 0.510, 0.378)
La (0.743, 0.365, 0.874)
Mg (0.250, 0.750, 0.500)
Te (0.020, 0.617, 0.759)
Te (0.227, 0.481, 0.124)
Te (0.357, 0.103, 0.876)
Te (0.383, 0.142, 0.403)
Te (0.519, 0.643, 0.746)
Te (0.739, 0.980, 0.597)
Te (0.858, 0.261, 0.241)
Te (0.897, 0.773, 0.254)

**DOS(E_F)**: 6.38 states/eV per cell
**Magnetization**: 0.0 μB/cell
**Final energy**: -5.132 eV/atom
**Crystal system**: tetragonal
**Space-group type**: I-4, No. 82
**Density**: 6.4 g/cm³

***

DFT (PBE-GGA) results for LaMgTe3 after structural relaxation.

abc: 6.118 6.118 6.118
angles: 90.00 90.00 90.00
Fractional positions:
La (0.000, 0.000, 0.000)
Mg (0.500, 0.500, 0.500)
Te (0.000, 0.000, 0.500)
Te (0.000, 0.500, 0.000)
Te (0.500, 0.000, 0.000)

**DOS(E_F)**: 8.45 states/eV per cell
**Magnetization**: 0.0 μB/cell
**Final energy**: -3.380 eV/atom
**Crystal system**: cubic
**Relative energy among the computed polymorphs**: 433 meV/atom
**Space-group type**: Pm-3m, No. 221
**Density**: 4.0 g/cm³

***

DFT (PBE-GGA) results for LaMgTe4 after structural relaxation.

abc: 6.436 6.436 6.436
angles: 60.00 60.00 60.00
Fractional positions:
La (0.000, 0.000, 0.000)
Mg (0.750, 0.750, 0.750)
Te (0.375, 0.375, 0.375)
Te (0.375, 0.375, 0.875)
Te (0.375, 0.875, 0.375)
Te (0.875, 0.375, 0.375)

**DOS(E_F)**: 4.66 states/eV per cell
**Magnetization**: 0.0 μB/cell
**Final energy**: -3.327 eV/atom
**Crystal system**: cubic
**Space-group type**: F-43m, No. 216
**Density**: 5.9 g/cm³

***

DFT (PBE-GGA) results for La2MgTe after structural relaxation.

abc: 7.141 7.141 7.141
angles: 103.22 103.22 122.87
Fractional positions:
La (0.109, 0.125, 0.484)
La (0.375, 0.891, 0.016)
La (0.641, 0.625, 0.516)
La (0.875, 0.359, 0.984)
Mg (0.250, 0.750, 0.500)
Mg (0.500, 0.500, 0.000)
Te (0.000, 0.000, 0.000)
Te (0.750, 0.250, 0.500)

**DOS(E_F)**: 10.39 states/eV per cell
**Magnetization**: 0.0 μB/cell
**Final energy**: -4.121 eV/atom
**Crystal system**: tetragonal
**Relative energy among the computed polymorphs**: 262 meV/atom
**Space-group type**: I-42d, No. 122
**Density**: 5.3 g/cm³

***

DFT (PBE-GGA) results for La6MgTe8 after structural relaxation.

abc: 8.461 8.461 8.461
angles: 68.34 68.34 68.34
Fractional positions:
La (0.035, 0.807, 0.422)
La (0.193, 0.578, 0.965)
La (0.422, 0.035, 0.807)
La (0.578, 0.965, 0.193)
La (0.807, 0.422, 0.035)
La (0.965, 0.193, 0.578)
Mg (0.500, 0.500, 0.500)
Te (0.150, 0.407, 0.678)
Te (0.169, 0.169, 0.169)
Te (0.322, 0.850, 0.593)
Te (0.407, 0.678, 0.150)
Te (0.593, 0.322, 0.850)
Te (0.678, 0.150, 0.407)
Te (0.831, 0.831, 0.831)
Te (0.850, 0.593, 0.322)

**DOS(E_F)**: 6.49 states/eV per cell
**Magnetization**: 0.0 μB/cell
**Final energy**: -5.192 eV/atom
**Crystal system**: trigonal
**Space-group type**: R-3, No. 148
**Density**: 6.2 g/cm³

***

DFT (PBE-GGA) results for La2MgTeW after structural relaxation.

abc: 5.986 5.986 4.951
angles: 90.00 90.00 90.00
Fractional positions:
La (0.000, 0.500, 0.000)
La (0.500, 0.000, 0.000)
Mg (0.000, 0.000, 0.500)
Te (0.500, 0.500, 0.000)
W (0.500, 0.500, 0.500)

**DOS(E_F)**: 1.57 states/eV per cell
**Magnetization**: 0.0 μB/cell
**Final energy**: -4.939 eV/atom
**Crystal system**: tetragonal
**Space-group type**: P4/mmm, No. 123
**Density**: 5.7 g/cm³